(1)
# TaV2C

An optimized crystal structure of TaV2C (GGA-PBE, the Alexandria database).

a = 4.703 Å, b = 4.703 Å, c = 6.970 Å
α = 90.00°, β = 90.00°, γ = 141.58°
Atoms (fractional coordinates):
Ta1 0.045 0.955 0.750
Ta2 0.955 0.045 0.250
V1 0.344 0.656 0.557
V2 0.344 0.656 0.943
V3 0.656 0.344 0.057
V4 0.656 0.344 0.443
C1 0.242 0.758 0.250
C2 0.758 0.242 0.750

Summary:
The total energy comes out at -10.182 eV/atom. Its spin magnetization is 0.000 μB/atom. As for the calculated volume: 12.0 Å³/atom. For the density of states at the Fermi level, the calculation gives 3.7 states/eV per cell.

***

(2)
# Ce2Ti2SiO9

An optimized crystal structure of Ce2Ti2SiO9 (GGA-PBE, the Alexandria database).

a = 8.942 Å, b = 8.942 Å, c = 7.653 Å
α = 110.25°, β = 110.25°, γ = 37.50°
Atoms (fractional coordinates):
Ce1 0.103 0.103 0.197
Ce2 0.213 0.213 0.816
Ce3 0.787 0.787 0.184
Ce4 0.897 0.897 0.803
Ti1 0.240 0.760 0.500
Ti2 0.418 0.418 0.050
Ti3 0.582 0.582 0.950
Ti4 0.760 0.240 0.500
Si1 0.335 0.335 0.514
Si2 0.665 0.665 0.486
O1 0.020 0.020 0.685
O2 0.093 0.579 0.015
O3 0.134 0.624 0.478
O4 0.239 0.239 0.363
O5 0.272 0.728 0.000
O6 0.344 0.344 0.733
O7 0.376 0.866 0.522
O8 0.421 0.907 0.985
O9 0.473 0.473 0.310
O10 0.527 0.527 0.690
O11 0.579 0.093 0.015
O12 0.624 0.134 0.478
O13 0.656 0.656 0.267
O14 0.728 0.272 0.000
O15 0.761 0.761 0.637
O16 0.866 0.376 0.522
O17 0.907 0.421 0.985
O18 0.980 0.980 0.315

Summary:
The total energy comes out at -8.702 eV/atom. Its spin magnetization is 0.140 μB/atom. As for the calculated volume: 12.4 Å³/atom. For the density of states at the Fermi level, the calculation gives 26.6 states/eV per cell.

***

(3)
# ThCuSi2Ni

An optimized crystal structure of ThCuSi2Ni (GGA-PBE, the Alexandria database).

a = 5.659 Å, b = 5.659 Å, c = 5.659 Å
α = 137.56°, β = 137.56°, γ = 61.58°
Atoms (fractional coordinates):
Th1 0.000 0.000 0.000
Cu1 0.250 0.750 0.500
Si1 0.374 0.374 0.000
Si2 0.626 0.626 0.000
Ni1 0.750 0.250 0.500

Summary:
The total energy comes out at -6.359 eV/atom. Its spin magnetization is 0.000 μB/atom. As for the calculated volume: 16.3 Å³/atom. For the density of states at the Fermi level, the calculation gives 1.9 states/eV per cell.

***

(4)
# Li3AcAg3

An optimized crystal structure of Li3AcAg3 (GGA-PBE, the Alexandria database).

a = 9.148 Å, b = 9.148 Å, c = 4.583 Å
α = 90.00°, β = 90.00°, γ = 120.00°
Atoms (fractional coordinates):
Li1 0.030 0.767 0.250
Li2 0.233 0.263 0.250
Li3 0.263 0.030 0.750
Li4 0.737 0.970 0.250
Li5 0.767 0.737 0.750
Li6 0.970 0.233 0.750
Ac1 0.333 0.667 0.750
Ac2 0.667 0.333 0.250
Ag1 0.056 0.438 0.250
Ag2 0.382 0.944 0.250
Ag3 0.438 0.382 0.750
Ag4 0.562 0.618 0.250
Ag5 0.618 0.056 0.750
Ag6 0.944 0.562 0.750

Summary:
Its spin magnetization is 0.000 μB/atom. The energy above the most stable polymorph in this dataset is 0.0 meV/atom. As for the calculated volume: 23.7 Å³/atom. For the density of states at the Fermi level, the calculation gives 2.9 states/eV per cell.

***

(5)
# NaCaPrHg

An optimized crystal structure of NaCaPrHg (GGA-PBE, the Alexandria database).

a = 5.521 Å, b = 5.521 Å, c = 5.521 Å
α = 60.00°, β = 60.00°, γ = 60.00°
Atoms (fractional coordinates):
Na1 0.000 0.000 0.000
Ca1 0.750 0.750 0.750
Pr1 0.250 0.250 0.250
Hg1 0.500 0.500 0.500

Summary:
The total energy comes out at -2.272 eV/atom. Its spin magnetization is 0.000 μB/atom. As for the calculated volume: 29.8 Å³/atom. For the density of states at the Fermi level, the calculation gives 2.9 states/eV per cell.

***

(6)
# Na2CaGaSb2

An optimized crystal structure of Na2CaGaSb2 (GGA-PBE, the Alexandria database).

a = 5.185 Å, b = 8.646 Å, c = 7.533 Å
α = 90.00°, β = 90.00°, γ = 90.00°
Atoms (fractional coordinates):
Na1 0.000 0.079 0.000
Na2 0.000 0.921 0.500
Na3 0.500 0.151 0.321
Na4 0.500 0.849 0.821
Ca1 0.500 0.474 0.012
Ca2 0.500 0.526 0.512
Ga1 0.000 0.310 0.659
Ga2 0.000 0.690 0.159
Sb1 0.000 0.368 0.278
Sb2 0.000 0.632 0.778
Sb3 0.500 0.197 0.735
Sb4 0.500 0.803 0.235

Summary:
The total energy comes out at -3.170 eV/atom. Its spin magnetization is 0.000 μB/atom. As for the calculated volume: 28.1 Å³/atom. For the density of states at the Fermi level, the calculation gives 2.4 states/eV per cell.

***

(7)
# CdSiGe2As4

An optimized crystal structure of CdSiGe2As4 (GGA-PBE, the Alexandria database).

a = 6.922 Å, b = 6.449 Å, c = 6.261 Å
α = 65.97°, β = 58.32°, γ = 55.71°
Atoms (fractional coordinates):
Cd1 0.000 0.000 0.000
Si1 0.498 0.498 0.502
Ge1 0.235 0.235 0.265
Ge2 0.735 0.735 0.765
As1 0.162 0.617 0.383
As2 0.419 0.875 0.581
As3 0.617 0.162 0.838
As4 0.875 0.419 0.125

Summary:
The total energy comes out at -4.258 eV/atom. Its spin magnetization is 0.000 μB/atom. As for the calculated volume: 24.3 Å³/atom. For the density of states at the Fermi level, the calculation gives 1.4 states/eV per cell.

***

(8)
# SrMg2IrPb

An optimized crystal structure of SrMg2IrPb (GGA-PBE, the Alexandria database).

a = 5.100 Å, b = 5.100 Å, c = 5.283 Å
α = 90.00°, β = 90.00°, γ = 90.00°
Atoms (fractional coordinates):
Sr1 0.000 0.000 0.000
Mg1 0.000 0.500 0.500
Mg2 0.500 0.000 0.500
Ir1 0.500 0.500 0.500
Pb1 0.500 0.500 0.000

Summary:
Its spin magnetization is 0.000 μB/atom. The energy above the most stable polymorph in this dataset is 0.0 meV/atom. As for the calculated volume: 27.5 Å³/atom. For the density of states at the Fermi level, the calculation gives 3.9 states/eV per cell.